# K3Pr2TiSe6

An optimized crystal structure of K3Pr2TiSe6 (PBE, the Alexandria database).

Values from the calculation:
Formation energy from raw total energies   -1.511 eV/atom
V   356.1 Å³/f.u.

Geometry as POSCAR:
```
K3Pr2TiSe6
1.0
-7.000 -1.054 1.846
2.914 -3.720 -5.585
3.486 -3.991 6.083
Ti Se K Pr
1 6 3 2
Direct
0.000 0.000 0.000
0.626 0.932 0.796
0.932 0.626 0.796
0.068 0.374 0.204
0.764 0.764 0.204
0.374 0.068 0.204
0.236 0.236 0.796
0.171 0.829 0.500
0.829 0.171 0.500
0.500 0.500 0.500
0.666 0.334 0.000
0.334 0.666 0.000
```

***

# Ce4Bi3Sb

An optimized crystal structure of Ce4Bi3Sb (PBE, the Alexandria database).

Values from the calculation:
Formation energy from raw total energies   -0.851 eV/atom
Energy above the lowest structure with this stoichiometry   0.000 eV per atom
V   271.6 Å³/f.u.

Geometry as POSCAR:
```
Ce4Bi3Sb
1.0
-1.711 2.703 -5.629
-0.063 -5.844 -2.787
-5.359 0.889 5.780
Bi Ce Sb
3 4 1
Direct
0.250 0.750 0.500
0.500 0.500 0.000
0.750 0.250 0.500
0.753 0.753 0.506
0.000 0.500 0.000
0.500 0.000 0.000
0.247 0.247 0.494
0.000 0.000 0.000
```

***

# VMo2Rh3

An optimized crystal structure of VMo2Rh3 (PBE, the Alexandria database).

Values from the calculation:
V   86.9 Å³/f.u.
ΔH_f (0 K)   -5.61 kcal/mol of atoms

Geometry as POSCAR:
```
VMo2Rh3
1.0
3.873 -0.001 0.020
1.936 5.821 0.010
-0.039 0.000 7.711
Mo Rh V
4 6 2
Direct
0.667 0.667 0.500
0.000 0.000 0.000
0.000 0.000 0.500
0.333 0.333 0.500
0.832 0.335 0.756
0.832 0.335 0.244
0.168 0.665 0.756
0.500 0.000 0.248
0.500 0.000 0.752
0.168 0.665 0.244
0.336 0.328 0.000
0.664 0.672 0.000
```

***

# CaPrTl2

An optimized crystal structure of CaPrTl2 (PBE, the Alexandria database).

Values from the calculation:
V   119.4 Å³/f.u.
ΔH_f (0 K)   -9.71 kcal/mol of atoms

Geometry as POSCAR:
```
CaPrTl2
1.0
-3.475 1.543 -0.809
-0.233 -2.202 -3.195
-3.507 -5.704 4.188
Tl Pr Ca
2 1 1
Direct
0.000 0.000 0.743
0.000 0.000 0.257
0.500 0.500 0.000
0.500 0.500 0.500
```

***

# TbSc2UP4

An optimized crystal structure of TbSc2UP4 (PBE, the Alexandria database).

Values from the calculation:
V   163.4 Å³/f.u.
ΔH_f (0 K)   -31.91 kcal/mol of atoms

Geometry as POSCAR:
```
TbSc2UP4
1.0
3.866 0.000 0.000
0.000 6.664 -0.127
0.000 2.350 6.297
P U Sc Tb
4 1 2 1
Direct
0.500 0.238 0.760
0.000 0.762 0.750
0.500 0.762 0.240
0.000 0.238 0.250
0.500 0.500 0.000
0.500 0.000 0.500
0.000 0.000 0.000
0.000 0.500 0.500
```

***

# Mn2ZnC

An optimized crystal structure of Mn2ZnC (PBE, the Alexandria database).

Values from the calculation:
Energy above the lowest structure with this stoichiometry   0.000 eV per atom
V   45.0 Å³/f.u.
ΔH_f (0 K)   -0.90 kcal/mol of atoms

Geometry as POSCAR:
```
Mn2ZnC
1.0
2.863 0.000 0.000
1.431 2.479 0.000
1.431 0.826 6.346
C Mn Zn
1 2 1
Direct
0.000 0.000 0.000
0.278 0.278 0.167
0.722 0.722 0.833
0.500 0.500 0.500
```

***

# MgNbH

An optimized crystal structure of MgNbH (PBE, the Alexandria database).

Values from the calculation:
Energy above the lowest structure with this stoichiometry   0.135 eV per atom
V   40.1 Å³/f.u.

Geometry as POSCAR:
```
MgNbH
1.0
-3.455 -3.787 -2.272
2.280 -1.460 -1.032
-1.436 -4.429 3.092
Nb H Mg
2 2 2
Direct
0.204 0.500 0.402
0.718 0.500 0.896
0.514 0.500 0.709
0.435 0.000 0.119
0.202 0.000 0.897
0.723 0.000 0.402
```

***

# Nd4BHCl2

An optimized crystal structure of Nd4BHCl2 (PBE, the Alexandria database).

Values from the calculation:
Energy   -4.983 eV/atom
V   182.3 Å³/f.u.

Geometry as POSCAR:
```
Nd4BHCl2
1.0
3.899 0.000 0.000
0.000 6.538 0.150
0.000 -2.268 7.102
Nd Cl B H
4 2 1 1
Direct
0.000 0.256 0.789
0.000 0.744 0.211
0.500 0.237 0.192
0.500 0.763 0.808
0.500 0.000 0.500
0.000 0.500 0.500
0.000 0.000 0.000
0.500 0.500 0.000
```